[1]
Compound: Sc2SbRu
Source: the Alexandria database
Functional: GGA-PBE
Structure: relaxed

- total DFT energy (no corrections) (eV/cell) = -27.54
- volume (A^3/atom) = 21.2
- formation energy (no corrections) (kcal/mol of atoms) = -8.5

Cell lengths 3.3129, 4.2995, 5.9532 Å; angles 90.00, 90.00, 90.00 degrees
With the nearest neighbours (Å) after each atom.
Space group Pmm2 (No. 25)
Symmetry-distinct sites (fractional):
1 Sc 0.0000 0.0000 0.0000 (multiplicity 1)  1 Ru 2.47
2 Sc 0.5000 0.5000 0.3051 (multiplicity 1)  4 Ru 2.79, 2 Sb 2.87-3.08
3 Sb 0.5000 0.5000 0.7875 (multiplicity 1)  6 Sc 2.87-3.08
4 Ru 0.0000 0.0000 0.4154 (multiplicity 1)  1 Sc 2.47

[2]
Compound: PuSc3Fe
Source: the Alexandria database
Functional: GGA-PBE
Structure: relaxed

- calculated formation energy (eV/atom) = 0.029
- energy above the lowest structure with this stoichiometry (meV/atom) = 0
- total DFT energy (no corrections) (eV/cell) = -166.57
- volume (A^3/atom) = 21.5

Cell lengths 10.6516, 4.4937, 9.4085 Å; angles 90.00, 107.01, 90.00 degrees
With the nearest neighbours (Å) after each atom.
Space group C2/m (No. 12)
Symmetry-distinct sites (fractional):
1 Pu 0.0986 0.0000 0.1523 (multiplicity 4)  1 Fe 2.25
2 Sc 0.0768 0.5000 0.3861 (multiplicity 4)  3 Fe 2.51-2.73
3 Sc 0.1375 0.5000 0.9381 (multiplicity 4)  5 Pu 3.13-3.29, 6 Sc 3.23-3.45
4 Sc 0.1552 0.0000 0.6790 (multiplicity 4)  3 Fe 2.77-3.00, 1 Sc 3.09
5 Fe 0.2235 0.0000 0.3915 (multiplicity 4)  1 Pu 2.25, 1 Sc 2.51

[3]
Compound: LiAsAu
Source: the Alexandria database
Functional: GGA-PBE
Structure: relaxed

- calculated formation energy (eV/atom) = -0.293
- total DFT energy (no corrections) (eV/cell) = -21.44
- volume (A^3/atom) = 17.0

Cell lengths 3.2336, 3.9425, 7.9838 Å; angles 90.00, 90.00, 90.00 degrees
With the nearest neighbours (Å) after each atom.
Space group Imm2 (No. 44)
Symmetry-distinct sites (fractional):
1 Li 0.0000 0.0000 0.0000 (multiplicity 2)  5 As 2.63-2.89, 5 Au 2.74-2.84
2 As 0.0000 0.0000 0.6702 (multiplicity 2)  5 Au 2.61-2.90, 5 Li 2.63-2.89
3 Au 0.0000 0.0000 0.3432 (multiplicity 2)  5 As 2.61-2.90, 5 Li 2.74-2.84